1.
The following is a PBE-GGA calculation of crystalline Rb2Ga4Ag5 at its relaxed geometry, from the Alexandria database.

Calculated values
energy above the most stable polymorph in this dataset	0.000	eV/atom
ΔE_f	-29	meV/atom
calculated density	6.0	g cm⁻³

a b c (Å): 6.216 11.256 15.707
angles (deg): 90.00 90.00 90.00
Space group Fmmm (No. 69)
Asymmetric unit:
Rb 0.000 0.000 0.140 (multiplicity 8)
Ga 0.000 0.162 0.374 (multiplicity 16)
Ag 0.000 0.000 0.500 (multiplicity 4)
Ag 0.250 0.250 0.000 (multiplicity 8)
Ag 0.250 0.250 0.250 (multiplicity 8)


2.
The following is a PBE-GGA calculation of crystalline Na2GaSn2 at its relaxed geometry, from the Alexandria database.

Calculated values
energy above the most stable polymorph in this dataset	0.175	eV/atom
ΔE_f	6	meV/atom
calculated density	4.3	g cm⁻³

a b c (Å): 8.679 8.679 3.585
angles (deg): 90.00 90.00 90.00
Space group P4/mbm (No. 127)
Asymmetric unit:
Na 0.181 0.319 0.000 (multiplicity 4)
Ga 0.000 0.000 0.500 (multiplicity 2)
Sn 0.119 0.619 0.500 (multiplicity 4)


3.
The following is a PBE-GGA calculation of crystalline LiGaCl2O at its relaxed geometry, from the Alexandria database.

Calculated values
calculated density	1.3	g cm⁻³
E_form (uncorrected)	-0.100	eV per atom

a b c (Å): 4.745 4.745 9.568
angles (deg): 90.00 90.00 90.00
Space group P4/mmm (No. 123)
Asymmetric unit:
Li 0.000 0.000 0.000 (multiplicity 1)
Ga 0.000 0.000 0.500 (multiplicity 1)
Cl 0.000 0.500 0.500 (multiplicity 2)
O 0.500 0.500 0.000 (multiplicity 1)